! RbNpCuSe3 PBE optimized geometry; values from VASP
&SYSTEM
  ibrav = 0, nat = 12, ntyp = 4
/
ATOMIC_SPECIES
Cu 63.55 Cu.upf
Np 237.00 Np.upf
Rb 85.47 Rb.upf
Se 78.96 Se.upf
ATOMIC_POSITIONS crystal
Cu 0.4653 0.5347 0.2500
Cu 0.5347 0.4653 0.7500
Np 0.0000 0.0000 0.0000
Np 0.0000 0.0000 0.5000
Rb 0.7427 0.2573 0.2500
Rb 0.2573 0.7427 0.7500
Se 0.3774 0.6226 0.0576
Se 0.0602 0.9398 0.2500
Se 0.3774 0.6226 0.4424
Se 0.6226 0.3774 0.5576
Se 0.9398 0.0602 0.7500
Se 0.6226 0.3774 0.9424
CELL_PARAMETERS angstrom
3.1982 6.5713 2.8406
-4.6627 -3.5404 -5.2158
-8.2695 1.1733 6.5962
! Magnetic moment, μB/cell: 6.0
! E, eV per cell: -68.5
! Calculated volume, A^3/atom: 27.64


! RbNpCuTe3 PBE optimized geometry; values from VASP
&SYSTEM
  ibrav = 0, nat = 12, ntyp = 4
/
ATOMIC_SPECIES
Cu 63.55 Cu.upf
Np 237.00 Np.upf
Rb 85.47 Rb.upf
Te 127.60 Te.upf
ATOMIC_POSITIONS crystal
Cu 0.9660 0.0340 0.2500
Cu 0.0340 0.9660 0.7500
Np 0.5000 0.5000 0.0000
Np 0.5000 0.5000 0.5000
Rb 0.2456 0.7544 0.2500
Rb 0.7544 0.2456 0.7500
Te 0.8742 0.1258 0.0592
Te 0.5623 0.4377 0.2500
Te 0.8742 0.1258 0.4408
Te 0.1258 0.8742 0.5592
Te 0.4377 0.5623 0.7500
Te 0.1258 0.8742 0.9408
CELL_PARAMETERS angstrom
0.5758 4.2620 7.2204
-1.6973 -7.1232 -4.1243
10.8854 -3.1769 1.0072
! Magnetic moment, μB/cell: 6.0
! E, eV per cell: -62.4
! Calculated volume, A^3/atom: 33.59


! NpScCu PBE optimized geometry; values from VASP
&SYSTEM
  ibrav = 0, nat = 3, ntyp = 3
/
ATOMIC_SPECIES
Cu 63.55 Cu.upf
Np 237.00 Np.upf
Sc 44.96 Sc.upf
ATOMIC_POSITIONS crystal
Cu 0.0000 0.0000 0.0000
Np 0.2500 0.2500 0.2500
Sc 0.7500 0.7500 0.7500
CELL_PARAMETERS angstrom
0.0000 3.1932 3.1932
3.1932 0.0000 3.1932
3.1932 3.1932 0.0000
! Energy of formation, meV per atom: 594.1
! Magnetic moment, μB/cell: 5.0
! E, eV per cell: -21.0
! Calculated volume, A^3/atom: 21.71
! Energy above the lowest structure with this stoichiometry, eV per atom: 0.000


! NpCu2Si2 PBE optimized geometry; values from VASP
&SYSTEM
  ibrav = 0, nat = 10, ntyp = 3
/
ATOMIC_SPECIES
Cu 63.55 Cu.upf
Np 237.00 Np.upf
Si 28.09 Si.upf
ATOMIC_POSITIONS crystal
Cu 0.2393 0.2500 0.1271
Cu 0.7515 0.2500 0.5000
Cu 0.2485 0.7500 0.5000
Cu 0.7607 0.7500 0.8729
Np 0.7478 0.7500 0.2492
Np 0.2522 0.2500 0.7507
Si 0.7386 0.2500 0.0001
Si 0.2500 0.2500 0.3648
Si 0.7500 0.7500 0.6352
Si 0.2614 0.7500 0.9999
CELL_PARAMETERS angstrom
-1.1093 -3.6746 -1.2072
1.0911 -1.5009 3.5660
-8.9486 1.6240 3.4216
! Magnetic moment, μB/cell: 7.6
! E, eV per cell: -64.7
! Calculated volume, A^3/atom: 15.72


! NpCuSi PBE optimized geometry; values from VASP
&SYSTEM
  ibrav = 0, nat = 3, ntyp = 3
/
ATOMIC_SPECIES
Cu 63.55 Cu.upf
Np 237.00 Np.upf
Si 28.09 Si.upf
ATOMIC_POSITIONS crystal
Cu 0.0000 0.0000 0.0000
Np 0.2500 0.2500 0.2500
Si 0.7500 0.7500 0.7500
CELL_PARAMETERS angstrom
-3.7728 -2.1445 0.3548
-3.4325 1.9265 1.8616
-3.4142 1.1844 -2.4288
! Magnetic moment, μB/cell: 3.9
! E, eV per cell: -21.6
! Calculated volume, A^3/atom: 19.46


! SrNpCu PBE optimized geometry; values from VASP
&SYSTEM
  ibrav = 0, nat = 3, ntyp = 3
/
ATOMIC_SPECIES
Cu 63.55 Cu.upf
Np 237.00 Np.upf
Sr 87.62 Sr.upf
ATOMIC_POSITIONS crystal
Cu 0.0000 0.0000 0.0000
Np 0.2500 0.2500 0.2500
Sr 0.7500 0.7500 0.7500
CELL_PARAMETERS angstrom
0.0000 3.5520 3.5520
3.5520 0.0000 3.5520
3.5520 3.5520 0.0000
! Magnetic moment, μB/cell: 5.6
! E, eV per cell: -15.9
! Calculated volume, A^3/atom: 29.88


! NpTaCu PBE optimized geometry; values from VASP
&SYSTEM
  ibrav = 0, nat = 3, ntyp = 3
/
ATOMIC_SPECIES
Cu 63.55 Cu.upf
Np 237.00 Np.upf
Ta 180.95 Ta.upf
ATOMIC_POSITIONS crystal
Cu 0.2500 0.2500 0.2500
Np 0.0000 0.0000 0.0000
Ta 0.7500 0.7500 0.7500
CELL_PARAMETERS angstrom
-1.8641 2.1978 3.3353
-4.0418 1.6964 -0.4642
-3.3970 -1.7704 2.1806
! Energy of formation, meV per atom: 1422.3
! Magnetic moment, μB/cell: 0.0
! E, eV per cell: -24.1
! Calculated volume, A^3/atom: 20.19
! Energy above the lowest structure with this stoichiometry, eV per atom: 0.487


! NpTaCu PBE optimized geometry; values from VASP
&SYSTEM
  ibrav = 0, nat = 3, ntyp = 3
/
ATOMIC_SPECIES
Cu 63.55 Cu.upf
Np 237.00 Np.upf
Ta 180.95 Ta.upf
ATOMIC_POSITIONS crystal
Cu 0.0000 0.0000 0.0000
Np 0.2500 0.2500 0.2500
Ta 0.7500 0.7500 0.7500
CELL_PARAMETERS angstrom
3.6726 -1.1000 2.0786
-0.1533 -2.7168 3.4080
1.5835 -4.0470 -0.3647
! Energy of formation, meV per atom: 935.2
! Magnetic moment, μB/cell: 3.5
! E, eV per cell: -25.5
! Calculated volume, A^3/atom: 19.55
! Energy above the lowest structure with this stoichiometry, eV per atom: 0.000